(1)
The following is a GGA-PBE calculation of a geometry-optimized NaTl2ZnTe structure, from Alexandria via LeMat-Bulk.

Results
M_tot = 0.00 μB/f.u.
raw total energy = -1.908 eV per atom

Cell lengths 6.5671, 5.3159, 6.5671 Å; angles 90.00, 90.00, 90.00 degrees
With the nearest neighbours (Å) after each atom.
Positions (direct):
Na  0.5000  0.5000  0.5000  8 Tl 4.22, 4 Zn 4.64
Tl  0.0000  0.0000  0.5000  2 Te 3.28
Tl  0.5000  0.0000  0.0000  2 Te 3.28
Te  0.0000  0.0000  0.0000  2 Zn 2.66
Zn  0.0000  0.5000  0.0000  2 Te 2.66


(2)
The following is a GGA-PBE calculation of a geometry-optimized BiRh structure, from Alexandria via LeMat-Bulk.

Results
ΔE_f = 126 meV per atom
M_tot = 0.00 μB/f.u.

Cell lengths 3.4058, 3.4058, 8.3159 Å; angles 90.00, 90.00, 120.00 degrees
With the nearest neighbours (Å) after each atom.
Positions (direct):
Bi  0.0000  0.0000  0.5000  6 Rh 2.86
Bi  0.0000  0.0000  0.0000  6 Rh 2.86
Rh  0.6667  0.3333  0.7500  6 Bi 2.86
Rh  0.3333  0.6667  0.2500  6 Bi 2.86


(3)
The following is a GGA-PBE calculation of a geometry-optimized Cu6PdAu5 structure, from Alexandria via LeMat-Bulk.

Results
ΔE_f = -78 meV per atom
M_tot = 0.00 μB/f.u.

Cell lengths 4.0510, 7.2691, 7.3355 Å; angles 119.70, 105.95, 90.00 degrees
With the nearest neighbours (Å) after each atom.
Positions (direct):
Au  0.6645  0.1646  0.3292  8 Cu 2.68-2.75, 2 Pd 2.84, 2 Au 2.87
Au  0.3326  0.3327  0.6655  8 Cu 2.71-2.73, 4 Au 2.86-2.87
Au  0.0000  0.5000  0.0000  8 Cu 2.71-2.74, 4 Au 2.86
Au  0.6674  0.6673  0.3345  8 Cu 2.71-2.73, 4 Au 2.86-2.87
Au  0.3355  0.8354  0.6708  8 Cu 2.68-2.75, 2 Pd 2.84, 2 Au 2.87
Pd  0.0000  0.0000  0.0000  8 Cu 2.69-2.71, 4 Au 2.84
Cu  0.8346  0.5863  0.6694  1 Pd 2.69, 7 Au 2.71-2.75, 4 Cu 2.84-2.88
Cu  0.8347  0.0831  0.6694  1 Pd 2.69, 7 Au 2.71-2.75, 4 Cu 2.84-2.88
Cu  0.5000  0.7529  0.0000  6 Au 2.68-2.74, 2 Pd 2.71, 4 Cu 2.84-2.85
Cu  0.5000  0.2471  0.0000  6 Au 2.68-2.74, 2 Pd 2.71, 4 Cu 2.84-2.85
Cu  0.1653  0.9169  0.3306  1 Pd 2.69, 7 Au 2.71-2.75, 4 Cu 2.84-2.88
Cu  0.1654  0.4137  0.3306  1 Pd 2.69, 7 Au 2.71-2.75, 4 Cu 2.84-2.88


(4)
The following is a GGA-PBE calculation of a geometry-optimized Be4CuNi structure, from Alexandria via LeMat-Bulk.

Results
ΔE_f = -1 meV per atom
M_tot = 0.00 μB/f.u.
relative energy among the computed polymorphs = 0.235 eV per atom

Cell lengths 2.3483, 6.6959, 3.6739 Å; angles 90.00, 90.00, 90.00 degrees
With the nearest neighbours (Å) after each atom.
Positions (direct):
Be  0.5000  0.6929  0.0000  2 Ni 2.25, 6 Be 2.27-2.35, 2 Cu 2.37
Be  0.5000  0.3071  0.0000  2 Ni 2.25, 6 Be 2.27-2.35, 2 Cu 2.37
Be  0.0000  0.2127  0.5000  2 Ni 2.25, 6 Be 2.27-2.35, 2 Cu 2.32
Be  0.0000  0.7873  0.5000  2 Ni 2.25, 6 Be 2.27-2.35, 2 Cu 2.32
Cu  0.0000  0.0000  0.0000  8 Be 2.32-2.37, 2 Cu 2.35
Ni  0.5000  0.5000  0.5000  8 Be 2.25, 2 Ni 2.35


(5)
The following is a GGA-PBE calculation of a geometry-optimized Pu2Ga3Au2 structure, from Alexandria via LeMat-Bulk.

Results
ΔE_f = -365 meV per atom
M_tot = 11.34 μB/f.u.
relative energy among the computed polymorphs = 0.000 eV per atom

Cell lengths 4.2797, 7.4067, 9.6414 Å; angles 90.00, 102.82, 90.00 degrees
With the nearest neighbours (Å) after each atom.
Positions (direct):
Pu  0.1530  0.2500  0.3060  6 Ga 3.08, 6 Au 3.16-3.37
Pu  0.8470  0.7500  0.6940  6 Ga 3.08, 6 Au 3.16-3.37
Pu  0.9404  0.2500  0.8807  9 Ga 3.19-3.30, 4 Au 3.50
Pu  0.0596  0.7500  0.1193  9 Ga 3.19-3.30, 4 Au 3.50
Ga  0.2294  0.7500  0.4587  6 Au 2.72-2.77
Ga  0.7706  0.2500  0.5413  6 Au 2.72-2.77
Ga  0.5562  0.4201  0.1123  2 Ga 2.42-2.52, 1 Au 2.62
Ga  0.4438  0.5799  0.8877  2 Ga 2.42-2.52, 1 Au 2.62
Ga  0.4438  0.9201  0.8877  2 Ga 2.42-2.52, 1 Au 2.62
Ga  0.5562  0.0799  0.1123  2 Ga 2.42-2.52, 1 Au 2.62
Au  0.6851  0.9460  0.3701  4 Ga 2.62-2.77, 1 Au 2.90
Au  0.3149  0.0540  0.6299  4 Ga 2.62-2.77, 1 Au 2.90
Au  0.3149  0.4460  0.6299  4 Ga 2.62-2.77, 1 Au 2.90
Au  0.6851  0.5540  0.3701  4 Ga 2.62-2.77, 1 Au 2.90


(6)
The following is a GGA-PBE calculation of a geometry-optimized Rb3TlGa structure, from Alexandria via LeMat-Bulk.

Results
ΔE_f = 295 meV per atom
M_tot = 0.23 μB/f.u.
relative energy among the computed polymorphs = 0.000 eV per atom

Cell lengths 6.8564, 6.8564, 6.8564 Å; angles 90.00, 90.00, 90.00 degrees
With the nearest neighbours (Å) after each atom.
Positions (direct):
Tl  0.5000  0.5000  0.5000  12 Rb 4.85
Ga  0.0000  0.0000  0.0000  6 Rb 3.43
Rb  0.0000  0.5000  0.0000  2 Ga 3.43
Rb  0.0000  0.0000  0.5000  2 Ga 3.43
Rb  0.5000  0.0000  0.0000  2 Ga 3.43


(7)
The following is a GGA-PBE calculation of a geometry-optimized TlSeI2Cl structure, from Alexandria via LeMat-Bulk.

Results
M_tot = 0.00 μB/f.u.
raw total energy = -2.446 eV per atom

Cell lengths 5.9019, 5.9019, 5.1216 Å; angles 90.00, 90.00, 90.00 degrees
With the nearest neighbours (Å) after each atom.
Positions (direct):
I  0.0000  0.5000  0.0000  2 Se 2.95
I  0.5000  0.0000  0.0000  2 Se 2.95
Tl  0.5000  0.5000  0.5000  8 I 3.91, 4 Cl 4.17
Se  0.0000  0.0000  0.0000  2 Cl 2.56
Cl  0.0000  0.0000  0.5000  2 Se 2.56


(8)
The following is a GGA-PBE calculation of a geometry-optimized CePmH8Rh2 structure, from Alexandria via LeMat-Bulk.

Results
M_tot = 0.57 μB/f.u.
raw total energy = -4.661 eV per atom

Cell lengths 4.6389, 4.6389, 6.8977 Å; angles 70.35, 70.35, 60.00 degrees
With the nearest neighbours (Å) after each atom.
Positions (direct):
Ce  0.5000  0.5000  0.5000  12 H 2.45-2.74
Pm  0.0000  0.0000  0.0000  14 H 2.56-2.59
H  0.1360  0.1360  0.5921  1 Rh 1.75
H  0.4547  0.4546  0.1688  1 Rh 1.71
H  0.8640  0.8640  0.4079  1 Rh 1.75
H  0.9220  0.4547  0.1688  1 Rh 1.71
H  0.0780  0.5453  0.8312  1 Rh 1.71
H  0.4546  0.9220  0.1688  1 Rh 1.71
H  0.5454  0.0780  0.8312  1 Rh 1.71
H  0.5453  0.5454  0.8312  1 Rh 1.71
Rh  0.2280  0.2280  0.3160  4 H 1.71-1.75
Rh  0.7720  0.7720  0.6840  4 H 1.71-1.75


(9)
The following is a GGA-PBE calculation of a geometry-optimized ScMn2Ir structure, from Alexandria via LeMat-Bulk.

Results
ΔE_f = -68 meV per atom
M_tot = 6.59 μB/f.u.
relative energy among the computed polymorphs = 0.193 eV per atom

Cell lengths 4.3440, 2.8645, 5.2140 Å; angles 76.46, 90.00, 90.00 degrees
With the nearest neighbours (Å) after each atom.
Positions (direct):
Ir  0.5000  0.7500  0.7500  4 Mn 2.59, 2 Sc 2.66, 2 Ir 2.86
Mn  0.0000  0.9366  0.9779  2 Ir 2.59, 5 Mn 2.62-2.86, 2 Sc 2.85
Mn  0.0000  0.5634  0.5221  2 Ir 2.59, 5 Mn 2.62-2.86, 2 Sc 2.85
Sc  0.5000  0.2500  0.2500  2 Ir 2.66, 4 Mn 2.85, 2 Sc 2.86


(10)
The following is a GGA-PBE calculation of a geometry-optimized Ce5Ho3As8 structure, from Alexandria via LeMat-Bulk.

Results
ΔE_f = -1460 meV per atom
M_tot = 3.38 μB/f.u.

Cell lengths 8.3507, 8.3507, 8.3438 Å; angles 59.97, 59.97, 60.00 degrees
With the nearest neighbours (Å) after each atom.
Positions (direct):
Ce  0.5000  0.0000  0.0000  6 As 2.97-2.98
Ce  0.5000  0.5000  0.0000  6 As 2.97-2.98
Ce  0.0000  0.0000  0.0000  6 As 2.95
Ce  0.0000  0.5000  0.0000  6 As 2.97-2.98
Ce  0.5000  0.5000  0.5000  6 As 2.95
Ho  0.5000  0.0000  0.5000  6 As 2.93
Ho  0.0000  0.0000  0.5000  6 As 2.93
Ho  0.0000  0.5000  0.5000  6 As 2.93
As  0.2500  0.2500  0.7457  2 Ho 2.93, 4 Ce 2.95-2.98
As  0.2500  0.7543  0.7457  2 Ho 2.93, 4 Ce 2.95-2.98
As  0.7543  0.2500  0.7457  2 Ho 2.93, 4 Ce 2.95-2.98
As  0.7517  0.7517  0.7448  3 Ho 2.93, 3 Ce 2.97
As  0.7500  0.7500  0.2543  2 Ho 2.93, 4 Ce 2.95-2.98
As  0.7500  0.2457  0.2543  2 Ho 2.93, 4 Ce 2.95-2.98
As  0.2457  0.7500  0.2543  2 Ho 2.93, 4 Ce 2.95-2.98
As  0.2483  0.2483  0.2552  3 Ho 2.93, 3 Ce 2.97


(11)
The following is a GGA-PBE calculation of a geometry-optimized La2Tb8Y3 structure, from Alexandria via LeMat-Bulk.

Results
ΔE_f = 236 meV per atom
M_tot = 0.00 μB/f.u.

Cell lengths 5.5452, 7.6637, 11.2562 Å; angles 109.90, 90.01, 90.00 degrees
With the nearest neighbours (Å) after each atom.
Positions (direct):
La  0.4995  0.2407  0.4813  8 Tb 3.48-3.68, 2 La 3.85
La  0.5005  0.7593  0.5187  8 Tb 3.48-3.68, 2 La 3.85
Tb  0.0004  0.6597  0.3195  4 Tb 3.41, 2 La 3.48, 2 Y 3.75
Tb  0.9996  0.3403  0.6805  4 Tb 3.41, 2 La 3.48, 2 Y 3.75
Tb  0.9999  0.1264  0.2528  4 Y 3.47-3.85, 4 Tb 3.57-3.58, 2 La 3.68
Tb  0.0001  0.8736  0.7472  4 Y 3.47-3.85, 4 Tb 3.57-3.58, 2 La 3.68
Tb  0.4999  0.6060  0.7894  1 Y 3.14, 3 Tb 3.24-3.41
Tb  0.4999  0.1834  0.7894  1 Y 3.14, 3 Tb 3.24-3.41
Tb  0.5001  0.8166  0.2106  1 Y 3.14, 3 Tb 3.24-3.41
Tb  0.5001  0.3940  0.2106  1 Y 3.14, 3 Tb 3.24-3.41
Y  0.5000  0.0000  0.0000  4 Tb 3.14
Y  0.0000  0.2875  0.0000  3 Y 3.26-3.54, 6 Tb 3.47-3.56
Y  0.0000  0.7125  0.0000  3 Y 3.26-3.54, 6 Tb 3.47-3.56


(12)
The following is a GGA-PBE calculation of a geometry-optimized KHg2Ru structure, from Alexandria via LeMat-Bulk.

Results
ΔE_f = 381 meV per atom
M_tot = 1.10 μB/f.u.
relative energy among the computed polymorphs = 0.000 eV per atom

Cell lengths 8.1628, 8.1628, 4.5779 Å; angles 73.64, 73.64, 21.88 degrees
With the nearest neighbours (Å) after each atom.
Positions (direct):
Hg  0.9186  0.9186  0.0813  2 Ru 2.79, 2 Hg 3.10
Hg  0.7463  0.7463  0.7540  4 Ru 2.78, 2 Hg 3.10
K  0.5675  0.5675  0.4320  2 K 3.10, 2 Ru 3.44
Ru  0.2675  0.2675  0.2327  6 Hg 2.78-2.79, 2 Ru 3.10